Entry 1:
Pm3Pr7Er (PBE-GGA, relaxed); calculated volume = 36.56 Å³/atom; DOS(E_F) = 15.6 states/eV/f.u.; formation energy from the elements = 230 meV/atom; distance to the lowest polymorph of the same formula = 8 kJ/mol of formula units; raw total energy = -4.522 eV per atom
1.0
-4.338 3.172 -3.783
-5.398 0.498 5.709
2.022 7.099 2.737
Pr Er Pm
7 1 3
Direct
0.262 0.082 0.427
0.000 0.500 0.500
0.262 0.427 0.082
0.738 0.573 0.918
0.215 0.760 0.760
0.785 0.240 0.240
0.738 0.918 0.573
0.500 0.500 0.500
0.000 0.170 0.830
0.500 0.000 0.000
0.000 0.830 0.170

***

Entry 2:
Pm2Pr8Er (PBE-GGA, relaxed); calculated volume = 35.86 Å³/atom; DOS(E_F) = 17.1 states/eV/f.u.; formation energy from the elements = 108 meV/atom; distance to the lowest polymorph of the same formula = 0 kJ/mol of formula units; raw total energy = -4.647 eV per atom
1.0
-4.830 -2.621 1.767
3.800 -7.453 -0.667
3.022 5.624 7.175
Er Pr Pm
1 8 2
Direct
0.500 0.000 0.000
0.159 0.160 0.319
0.365 0.159 0.729
0.000 0.292 0.000
0.841 0.840 0.681
0.635 0.841 0.271
0.635 0.430 0.271
0.000 0.708 0.000
0.365 0.570 0.729
0.798 0.298 0.597
0.202 0.702 0.403

***

Entry 3:
Pm5Pr2Er12 (PBE-GGA, relaxed); calculated volume = 32.40 Å³/atom; DOS(E_F) = 28.8 states/eV/f.u.; formation energy from the elements = 67 meV/atom; distance to the lowest polymorph of the same formula = 0 kJ/mol of formula units; raw total energy = -4.568 eV per atom
1.0
6.194 1.043 -0.295
-1.778 6.800 -5.700
-0.467 0.151 13.835
Er Pm Pr
12 5 2
Direct
0.498 0.066 0.391
0.400 0.275 0.946
0.353 0.386 0.749
0.982 0.106 0.269
0.820 0.454 0.659
0.018 0.894 0.731
0.180 0.546 0.341
0.647 0.614 0.251
0.502 0.934 0.609
0.075 0.784 0.950
0.925 0.216 0.050
0.600 0.725 0.054
0.268 0.497 0.554
0.000 0.000 0.500
0.125 0.667 0.156
0.875 0.333 0.844
0.732 0.503 0.446
0.543 0.837 0.843
0.457 0.163 0.157

***

Entry 4:
Pm5PrEr (PBE-GGA, relaxed); calculated volume = 34.44 Å³/atom; DOS(E_F) = 10.4 states/eV/f.u.; formation energy from the elements = 100 meV/atom; raw total energy = -4.627 eV per atom
1.0
9.922 0.000 0.000
-4.961 4.383 0.327
0.000 3.955 11.383
Pm Pr Er
10 2 2
Direct
0.976 0.587 0.837
0.233 0.769 0.536
0.536 0.769 0.036
0.389 0.413 0.663
0.153 0.000 0.250
0.024 0.413 0.163
0.464 0.231 0.964
0.847 0.000 0.750
0.611 0.587 0.337
0.767 0.231 0.464
0.498 0.000 0.750
0.502 0.000 0.250
0.000 0.000 0.500
0.000 0.000 0.000

***

Entry 5:
PmPr6Er8 (PBE-GGA, relaxed); calculated volume = 33.51 Å³/atom; DOS(E_F) = 21.6 states/eV/f.u.; formation energy from the elements = 124 meV/atom; raw total energy = -4.538 eV per atom
1.0
-2.050 6.618 -5.357
-8.497 1.838 -1.065
-3.021 7.360 3.662
Er Pr Pm
8 6 1
Direct
0.713 0.752 0.113
0.287 0.248 0.887
0.752 0.113 0.713
0.576 0.576 0.576
0.424 0.424 0.424
0.887 0.287 0.248
0.113 0.713 0.752
0.248 0.887 0.287
0.228 0.101 0.537
0.101 0.537 0.228
0.537 0.228 0.101
0.463 0.772 0.899
0.772 0.899 0.463
0.899 0.463 0.772
0.000 0.000 0.000

***

Entry 6:
Pm3Pr6Er (PBE-GGA, relaxed); calculated volume = 36.14 Å³/atom; DOS(E_F) = 16.5 states/eV/f.u.; formation energy from the elements = 255 meV/atom; distance to the lowest polymorph of the same formula = 119 kJ/mol of formula units; raw total energy = -4.494 eV per atom
1.0
6.613 0.000 -2.684
-1.598 12.306 -3.937
-1.400 -2.760 6.038
Pm Pr Er
3 6 1
Direct
0.000 0.000 0.000
0.805 0.343 0.610
0.195 0.657 0.390
0.334 0.993 0.668
0.717 0.689 0.888
0.666 0.007 0.332
0.171 0.689 0.888
0.829 0.311 0.112
0.283 0.311 0.112
0.500 0.500 0.000

***

Entry 7:
Pm2PrEr (PBE-GGA, relaxed); calculated volume = 33.97 Å³/atom; DOS(E_F) = 9.0 states/eV/f.u.; formation energy from the elements = 115 meV/atom; distance to the lowest polymorph of the same formula = 38 kJ/mol of formula units; raw total energy = -4.596 eV per atom
1.0
4.256 0.000 0.000
0.000 4.256 0.000
0.000 0.000 7.501
Pr Pm Er
1 2 1
Direct
0.500 0.500 0.500
0.000 0.000 0.239
0.000 0.000 0.761
0.500 0.500 0.000

***

Entry 8:
Pm6PrEr3 (PBE-GGA, relaxed); calculated volume = 33.54 Å³/atom; DOS(E_F) = 14.5 states/eV/f.u.; formation energy from the elements = 146 meV/atom; distance to the lowest polymorph of the same formula = 19 kJ/mol of formula units; raw total energy = -4.551 eV per atom
1.0
6.315 0.000 0.000
0.000 10.970 -1.691
0.000 -4.096 10.316
Er Pr Pm
6 2 12
Direct
0.463 0.942 0.712
0.963 0.712 0.942
0.586 0.615 0.385
0.086 0.385 0.615
0.463 0.288 0.058
0.963 0.058 0.288
0.111 0.195 0.805
0.611 0.805 0.195
0.880 0.038 0.962
0.046 0.709 0.627
0.872 0.945 0.527
0.372 0.055 0.473
0.046 0.373 0.291
0.380 0.962 0.038
0.145 0.719 0.281
0.546 0.627 0.709
0.372 0.527 0.945
0.872 0.473 0.055
0.546 0.291 0.373
0.645 0.281 0.719

***

Entry 9:
Pm3PrEr8 (PBE-GGA, relaxed); calculated volume = 34.47 Å³/atom; DOS(E_F) = 16.2 states/eV/f.u.; formation energy from the elements = 297 meV/atom; raw total energy = -4.331 eV per atom
1.0
7.082 0.519 -4.946
-2.980 8.022 -1.288
-1.739 -0.519 8.462
Pm Er Pr
3 8 1
Direct
0.500 0.252 0.752
0.000 0.500 0.500
0.500 0.748 0.248
0.172 0.921 0.750
0.828 0.079 0.250
0.997 0.748 0.249
0.172 0.422 0.250
0.501 0.252 0.249
0.003 0.252 0.751
0.499 0.748 0.751
0.828 0.578 0.750
0.000 0.000 0.000

***

Entry 10:
Pm8Pr6Er (PBE-GGA, relaxed); calculated volume = 35.59 Å³/atom; DOS(E_F) = 21.7 states/eV/f.u.; formation energy from the elements = 158 meV/atom; distance to the lowest polymorph of the same formula = 72 kJ/mol of formula units; raw total energy = -4.592 eV per atom
1.0
6.706 0.000 0.000
0.000 8.303 -4.794
0.000 0.000 9.587
Pm Pr Er
8 6 1
Direct
0.166 0.752 0.030
0.886 0.333 0.667
0.166 0.970 0.721
0.834 0.721 0.752
0.834 0.248 0.970
0.834 0.030 0.279
0.166 0.279 0.248
0.114 0.667 0.333
0.337 0.567 0.651
0.663 0.433 0.349
0.337 0.349 0.915
0.663 0.915 0.567
0.337 0.085 0.433
0.663 0.651 0.085
0.500 0.000 0.000

***

Entry 11:
Pm4Pr2Er3 (PBE-GGA, relaxed); calculated volume = 34.09 Å³/atom; DOS(E_F) = 16.4 states/eV/f.u.; formation energy from the elements = 52 meV/atom; distance to the lowest polymorph of the same formula = 0 kJ/mol of formula units; raw total energy = -4.642 eV per atom
1.0
3.629 0.000 0.000
-1.815 3.143 0.000
0.000 0.000 26.893
Er Pm Pr
3 4 2
Direct
0.667 0.333 0.652
0.000 0.000 0.326
0.000 0.000 0.982
0.000 0.000 0.545
0.667 0.333 0.222
0.667 0.333 0.433
0.000 0.000 0.758
0.667 0.333 0.087
0.667 0.333 0.873

***

Entry 12:
PmPrEr5 (PBE-GGA, relaxed); calculated volume = 32.50 Å³/atom; DOS(E_F) = 9.6 states/eV/f.u.; formation energy from the elements = 195 meV/atom; distance to the lowest polymorph of the same formula = 0 kJ/mol of formula units; raw total energy = -4.425 eV per atom
1.0
6.142 0.086 2.782
2.274 5.706 2.782
1.089 0.749 13.775
Er Pr Pm
10 2 2
Direct
0.390 0.177 0.245
0.164 0.836 0.750
0.301 0.356 0.998
0.836 0.164 0.250
0.823 0.610 0.255
0.177 0.390 0.745
0.699 0.644 0.002
0.356 0.301 0.498
0.644 0.699 0.502
0.610 0.823 0.755
0.000 0.000 0.000
0.000 0.000 0.500
0.275 0.725 0.250
0.725 0.275 0.750

***

Entry 13:
Pm3Pr4Er5 (PBE-GGA, relaxed); calculated volume = 33.27 Å³/atom; DOS(E_F) = 16.3 states/eV/f.u.; formation energy from the elements = 18 meV/atom; distance to the lowest polymorph of the same formula = 0 kJ/mol of formula units; raw total energy = -4.664 eV per atom
1.0
-5.433 3.768 2.882
4.031 -8.633 0.800
1.401 11.786 5.423
Er Pr Pm
5 4 3
Direct
0.335 0.669 0.834
0.416 0.835 0.167
0.500 0.000 0.500
0.665 0.331 0.166
0.584 0.165 0.833
0.918 0.832 0.167
0.830 0.663 0.833
0.082 0.168 0.833
0.170 0.337 0.167
0.255 0.504 0.501
0.745 0.496 0.499
0.000 0.000 0.500

***

Entry 14:
PmPr6Er (PBE-GGA, relaxed); calculated volume = 35.20 Å³/atom; DOS(E_F) = 13.8 states/eV/f.u.; formation energy from the elements = 15 meV/atom; raw total energy = -4.734 eV per atom
1.0
-2.091 -4.576 -1.323
4.607 -2.310 0.709
-2.423 -1.772 9.963
Pr Er Pm
6 1 1
Direct
0.000 0.500 0.748
0.500 0.500 0.500
0.000 0.500 0.252
0.500 0.000 0.748
0.500 0.500 0.000
0.500 0.000 0.252
0.000 0.000 0.500
0.000 0.000 0.000

***

Entry 15:
Pm12Pr5Er (PBE-GGA, relaxed); calculated volume = 34.66 Å³/atom; DOS(E_F) = 27.7 states/eV/f.u.; formation energy from the elements = 80 meV/atom; raw total energy = -4.668 eV per atom
1.0
12.021 0.000 -0.010
6.010 8.772 -0.005
0.014 0.000 5.916
Pr Er Pm
5 1 12
Direct
0.135 0.730 0.500
0.362 0.276 0.000
0.638 0.724 0.000
0.865 0.270 0.500
0.500 0.000 0.500
0.000 0.000 0.000
0.833 0.641 0.507
0.703 0.000 0.956
0.333 0.643 0.993
0.167 0.359 0.493
0.527 0.641 0.493
0.667 0.357 0.007
0.297 0.000 0.044
0.802 0.000 0.457
0.025 0.643 0.007
0.975 0.357 0.993
0.473 0.359 0.507
0.198 0.000 0.543

***

Entry 16:
Pm2Pr3Er6 (PBE-GGA, relaxed); calculated volume = 34.53 Å³/atom; DOS(E_F) = 15.9 states/eV/f.u.; formation energy from the elements = 193 meV/atom; distance to the lowest polymorph of the same formula = 0 kJ/mol of formula units; raw total energy = -4.463 eV per atom
1.0
5.921 0.000 1.768
2.961 5.362 0.884
-1.294 0.000 11.579
Er Pr Pm
6 3 2
Direct
0.583 0.333 0.252
0.084 0.333 0.748
0.250 0.000 0.252
0.417 0.667 0.748
0.916 0.667 0.252
0.750 0.000 0.748
0.664 0.672 0.000
0.000 0.000 0.000
0.336 0.328 0.000
0.833 0.333 0.500
0.167 0.667 0.500

***

Entry 17:
Pm8Pr5Er (PBE-GGA, relaxed); calculated volume = 35.47 Å³/atom; DOS(E_F) = 20.5 states/eV/f.u.; formation energy from the elements = 236 meV/atom; raw total energy = -4.511 eV per atom
1.0
-1.358 7.147 -4.669
7.982 -3.035 -1.340
-5.912 -5.817 -2.435
Pm Pr Er
8 5 1
Direct
0.930 0.099 0.663
0.563 0.901 0.830
0.735 0.259 0.338
0.524 0.603 0.265
0.337 0.267 0.437
0.170 0.733 0.070
0.079 0.741 0.476
0.662 0.397 0.921
0.028 0.318 0.132
0.814 0.682 0.711
0.500 0.000 0.500
0.289 0.104 0.972
0.868 0.896 0.186
0.250 0.500 0.750

***

Entry 18:
Pm4Pr3Er (PBE-GGA, relaxed); calculated volume = 34.87 Å³/atom; DOS(E_F) = 13.9 states/eV/f.u.; formation energy from the elements = 32 meV/atom; distance to the lowest polymorph of the same formula = 0 kJ/mol of formula units; raw total energy = -4.706 eV per atom
1.0
-3.506 -4.026 -3.507
4.249 -5.620 2.204
-7.171 -1.800 9.235
Pm Er Pr
8 2 6
Direct
0.271 0.373 0.000
0.105 0.123 0.751
0.605 0.877 0.749
0.771 0.627 0.500
0.605 0.877 0.251
0.105 0.123 0.249
0.774 0.124 0.500
0.274 0.876 0.000
0.273 0.877 0.500
0.773 0.123 0.000
0.275 0.374 0.500
0.775 0.626 0.000
0.607 0.373 0.752
0.607 0.373 0.248
0.107 0.627 0.748
0.107 0.627 0.252

***

Entry 19:
Pm6PrEr5 (PBE-GGA, relaxed); calculated volume = 32.85 Å³/atom; DOS(E_F) = 17.1 states/eV/f.u.; formation energy from the elements = 19 meV/atom; raw total energy = -4.656 eV per atom
1.0
-3.180 -1.056 -3.834
3.566 -5.339 -4.866
-3.989 -7.584 5.397
Er Pm Pr
5 6 1
Direct
0.000 0.000 0.500
0.333 0.333 0.500
0.332 0.337 0.000
0.668 0.663 0.000
0.667 0.667 0.500
0.500 0.000 0.747
0.833 0.334 0.748
0.167 0.666 0.748
0.167 0.666 0.252
0.833 0.334 0.252
0.500 0.000 0.253
0.000 0.000 0.000

***

Entry 20:
Pm3Pr2Er (PBE-GGA, relaxed); calculated volume = 34.93 Å³/atom; DOS(E_F) = 10.0 states/eV/f.u.; formation energy from the elements = 245 meV/atom; distance to the lowest polymorph of the same formula = 57 kJ/mol of formula units; raw total energy = -4.484 eV per atom
1.0
-0.943 -3.272 -0.430
1.943 0.298 -6.526
16.451 -5.353 4.654
Er Pm Pr
2 6 4
Direct
0.500 0.500 0.000
0.000 0.000 0.500
0.000 0.244 0.677
0.000 0.000 0.000
0.000 0.756 0.323
0.500 0.500 0.500
0.500 0.744 0.823
0.500 0.256 0.177
0.500 0.763 0.151
0.000 0.263 0.349
0.500 0.237 0.849
0.000 0.737 0.651